No. 1
Entry from the Alexandria database: an optimized crystal structure of LaPmWO6 (GGA+U).

## Properties
- magnetic moment (μB/cell) = 0.00
- DOS(E_F) (states/eV per atom) = 0.000
- total energy (eV/atom) = -8.021
- space-group type = No. 163

Cell lengths 5.7923, 5.7923, 9.4395 Å; angles 90.00, 90.00, 120.00 degrees
Atoms (fractional coordinates):
La 0.3333 0.6667 0.2500
La 0.6667 0.3333 0.7500
Pm 0.0000 0.0000 0.0000
Pm 0.0000 0.0000 0.5000
W 0.6667 0.3333 0.2500
W 0.3333 0.6667 0.7500
O 0.6800 0.6219 0.1348
O 0.9419 0.3200 0.1348
O 0.3200 0.9419 0.6348
O 0.0581 0.6800 0.8652
O 0.3781 0.3200 0.3652
O 0.9419 0.6219 0.3652
O 0.6219 0.9419 0.8652
O 0.6800 0.0581 0.3652
O 0.0581 0.3781 0.6348
O 0.3781 0.0581 0.1348
O 0.6219 0.6800 0.6348
O 0.3200 0.3781 0.8652

=====

No. 2
Entry from the Alexandria database: an optimized crystal structure of LaPm2WO8 (GGA+U).

## Properties
- magnetic moment (μB/cell) = 0.87
- DOS(E_F) (states/eV per atom) = 0.486
- total energy (eV/atom) = -7.888
- space-group type = No. 65

Cell lengths 5.1691, 5.1669, 7.1609 Å; angles 90.00, 90.00, 90.65 degrees
Last column: magnetic moment on the atom in μB.
Atoms (fractional coordinates):
La 0.0000 0.0000 0.5000  0.02
Pm 0.5000 0.5000 0.7575  -0.01
Pm 0.5000 0.5000 0.2425  -0.01
W 0.0000 0.0000 0.0000  -0.05
O 0.1804 0.8190 0.2013  0.07
O 0.7299 0.7304 0.0000  0.13
O 0.8196 0.1809 0.2013  0.07
O 0.8196 0.1810 0.7987  0.07
O 0.2701 0.2696 0.0000  0.13
O 0.1804 0.8191 0.7987  0.07
O 0.6872 0.6878 0.5000  0.12
O 0.3127 0.3122 0.5000  0.12